# 1
# Be3ReHg, relaxed, DFT GGA-PBE
data_Be3ReHg
_chemical_formula_sum 'Be3 Re1 Hg1'
_symmetry_space_group_name_H-M 'P m -3 m'
_symmetry_Int_Tables_number 221
_symmetry_space_group_name_Hall '-P 4 2 3'
_cell_length_a 4.3135
_cell_length_b 4.3135
_cell_length_c 4.3135
_cell_angle_alpha 90.00
_cell_angle_beta 90.00
_cell_angle_gamma 90.00
loop_
_atom_site_label
_atom_site_fract_x
_atom_site_fract_y
_atom_site_fract_z
Be1 0.0000 0.0000 0.5000
Re1 0.0000 0.0000 0.0000
Hg1 0.5000 0.5000 0.5000
# calculated formation energy = 1.084 eV/atom
# crystal system = cubic
# energy relative to the lowest polymorph listed for this composition = 0.0 kJ/mol of atoms
# density of states at the Fermi level = 3.21 states/eV/cell

# 2
# BeRe4Hg, relaxed, DFT GGA-PBE
data_BeRe4Hg
_chemical_formula_sum 'Be4 Re16 Hg4'
_symmetry_space_group_name_H-M 'F -4 3 m'
_symmetry_Int_Tables_number 216
_symmetry_space_group_name_Hall 'F -4 2 3'
_cell_length_a 7.3787
_cell_length_b 7.3787
_cell_length_c 7.3787
_cell_angle_alpha 90.00
_cell_angle_beta 90.00
_cell_angle_gamma 90.00
loop_
_atom_site_label
_atom_site_fract_x
_atom_site_fract_y
_atom_site_fract_z
Be1 0.0000 0.0000 0.0000
Re1 0.1252 0.1252 0.3748
Hg1 0.2500 0.2500 0.7500
# calculated formation energy = 0.874 eV/atom
# crystal system = cubic
# density of states at the Fermi level = 17.68 states/eV/cell

# 3
# BeRe2HgS, relaxed, DFT GGA-PBE
data_BeRe2HgS
_chemical_formula_sum 'Be1 Re2 Hg1 S1'
_symmetry_space_group_name_H-M 'P 4/m m m'
_symmetry_Int_Tables_number 123
_symmetry_space_group_name_Hall '-P 4 2'
_cell_length_a 4.3094
_cell_length_b 4.3094
_cell_length_c 4.3927
_cell_angle_alpha 90.00
_cell_angle_beta 90.00
_cell_angle_gamma 90.00
loop_
_atom_site_label
_atom_site_fract_x
_atom_site_fract_y
_atom_site_fract_z
Be1 0.0000 0.0000 0.0000
Re1 0.0000 0.5000 0.0000
Hg1 0.0000 0.0000 0.5000
S1 0.5000 0.5000 0.5000
# crystal system = tetragonal
# density of states at the Fermi level = 5.22 states/eV/cell
# E_form (uncorrected) = 7.21 eV per formula unit

# 4
# BeReTcHg2, relaxed, DFT GGA-PBE
data_BeReTcHg2
_chemical_formula_sum 'Be1 Re1 Tc1 Hg2'
_symmetry_space_group_name_H-M 'P 4/m m m'
_symmetry_Int_Tables_number 123
_symmetry_space_group_name_Hall '-P 4 2'
_cell_length_a 5.1573
_cell_length_b 5.1573
_cell_length_c 4.1328
_cell_angle_alpha 90.00
_cell_angle_beta 90.00
_cell_angle_gamma 90.00
loop_
_atom_site_label
_atom_site_fract_x
_atom_site_fract_y
_atom_site_fract_z
Be1 0.0000 0.0000 0.0000
Re1 0.5000 0.5000 0.0000
Tc1 0.0000 0.0000 0.5000
Hg1 0.0000 0.5000 0.5000
# calculated formation energy = 1.890 eV/atom
# crystal system = tetragonal
# density of states at the Fermi level = 3.64 states/eV/cell

# 5
# Be4HgRh, relaxed, DFT GGA-PBE
data_Be4HgRh
_chemical_formula_sum 'Be16 Hg4 Rh4'
_symmetry_space_group_name_H-M 'F -4 3 m'
_symmetry_Int_Tables_number 216
_symmetry_space_group_name_Hall 'F -4 2 3'
_cell_length_a 6.3853
_cell_length_b 6.3853
_cell_length_c 6.3853
_cell_angle_alpha 90.00
_cell_angle_beta 90.00
_cell_angle_gamma 90.00
loop_
_atom_site_label
_atom_site_fract_x
_atom_site_fract_y
_atom_site_fract_z
Be1 0.1236 0.1236 0.3764
Hg1 0.0000 0.0000 0.0000
Rh1 0.2500 0.2500 0.7500
# calculated formation energy = -0.104 eV/atom
# crystal system = cubic
# density of states at the Fermi level = 6.56 states/eV/cell

# 6
# BeHgRh, relaxed, DFT GGA-PBE
data_BeHgRh
_chemical_formula_sum 'Be1 Hg1 Rh1'
_symmetry_space_group_name_H-M 'P 3 m 1'
_symmetry_Int_Tables_number 156
_symmetry_space_group_name_Hall 'P 3 -2"'
_cell_length_a 2.9429
_cell_length_b 2.9429
_cell_length_c 6.0841
_cell_angle_alpha 90.00
_cell_angle_beta 90.00
_cell_angle_gamma 120.00
loop_
_atom_site_label
_atom_site_fract_x
_atom_site_fract_y
_atom_site_fract_z
Be1 0.0000 0.0000 0.0000
Hg1 0.6667 0.3333 0.3572
Rh1 0.3333 0.6667 0.7559
# calculated formation energy = 0.103 eV/atom
# crystal system = trigonal
# energy relative to the lowest polymorph listed for this composition = 23.6 kJ/mol of atoms
# density of states at the Fermi level = 1.14 states/eV/cell